Material: Pm2Y2HoEr
Method: DFT, PBE
State: optimized geometry

abc: 5.6516 7.0542 9.7582
angles: 90.00 90.00 90.00
Positions (direct):
Pm 0.0000 0.2576 0.8184
Pm 0.5000 0.2575 0.3502
Pm 0.0000 0.7576 0.1816
Pm 0.5000 0.7575 0.6498
Y 0.5000 0.0076 0.0000
Y 0.0000 0.2577 0.1567
Y 0.5000 0.5076 0.0000
Y 0.0000 0.7577 0.8433
Ho 0.5000 0.2575 0.6796
Ho 0.5000 0.7575 0.3204
Er 0.0000 0.0076 0.5000
Er 0.0000 0.5076 0.5000

Properties
- total energy (eV for the cell shown) = -62.44
- space group = Pmma
- crystal system = orthorhombic
- total moment (μB/atom) = 0.00
- energy of formation (eV/atom) = 0.058